Density functional theory data (PBE-GGA) for Li2Ca7Mg2 after structural relaxation. Values from VASP.

Values from the calculation:
Energy above the most stable polymorph in this dataset, meV/atom: 0
E, eV/atom: -1.899
Crystal system: monoclinic
Energy of formation, kJ/mol of atoms: 1
Total magnetization, μB/atom: 0.0000
Density of states at the Fermi level, states/eV per atom: 1.086

```
&SYSTEM
  ibrav = 0, nat = 11, ntyp = 3
/
ATOMIC_SPECIES
Li 6.94 Li.upf
Ca 40.08 Ca.upf
Mg 24.30 Mg.upf
CELL_PARAMETERS angstrom
4.2862 -5.0989 0.0000
4.2862 5.0989 0.0000
-2.3759 0.0000 8.7123
ATOMIC_POSITIONS angstrom
Li 0.1023 0.0000 2.8235
Li 6.0942 0.0000 5.8888
Ca 0.1786 1.9424 6.0357
Ca 2.6927 0.0000 0.6749
Ca 0.1786 -1.9424 6.0357
Ca 3.0982 0.0000 4.3561
Ca 6.0179 1.9424 2.6766
Ca 3.5037 0.0000 8.0374
Ca 6.0179 -1.9424 2.6766
Mg 4.2862 3.1952 0.0000
Mg 4.2862 -3.1952 0.0000
```

---

Density functional theory data (PBE-GGA) for LiCaMg2 after structural relaxation. Values from VASP.

Values from the calculation:
Energy above the most stable polymorph in this dataset, meV/atom: 48
E, eV/atom: -1.786
Crystal system: tetragonal
Energy of formation, kJ/mol of atoms: -1
Total magnetization, μB/atom: 0.0000
Density of states at the Fermi level, states/eV per atom: 0.492

```
&SYSTEM
  ibrav = 0, nat = 4, ntyp = 3
/
ATOMIC_SPECIES
Li 6.94 Li.upf
Ca 40.08 Ca.upf
Mg 24.30 Mg.upf
CELL_PARAMETERS angstrom
-2.3870 2.3870 4.6775
2.3870 -2.3870 4.6775
2.3870 2.3870 -4.6775
ATOMIC_POSITIONS angstrom
Li 0.0000 0.0000 0.0000
Ca 0.0000 0.0000 4.6775
Mg 2.3870 0.0000 2.3388
Mg 0.0000 2.3870 2.3388
```

---

Density functional theory data (PBE-GGA) for Li2Ca3Mg7 after structural relaxation. Values from VASP.

Values from the calculation:
E, eV/atom: -1.819
Crystal system: trigonal
Energy of formation, kJ/mol of atoms: -7
Total magnetization, μB/atom: 0.0000
Density of states at the Fermi level, states/eV per atom: 0.824

```
&SYSTEM
  ibrav = 0, nat = 12, ntyp = 3
/
ATOMIC_SPECIES
Li 6.94 Li.upf
Ca 40.08 Ca.upf
Mg 24.30 Mg.upf
CELL_PARAMETERS angstrom
3.0705 1.7728 9.8796
-3.0705 1.7728 9.8796
0.0000 -3.5455 9.8796
ATOMIC_POSITIONS angstrom
Li 0.0000 0.0000 4.9401
Li 0.0000 0.0000 24.6988
Ca 0.0000 0.0000 10.5946
Ca 0.0000 0.0000 14.8195
Ca 0.0000 0.0000 19.0443
Mg 0.0000 0.0000 0.0000
Mg 0.0000 -1.7617 7.3441
Mg -1.5257 0.8809 7.3441
Mg -1.5257 -0.8809 22.2948
Mg 1.5257 0.8808 7.3441
Mg 1.5257 -0.8808 22.2948
Mg 0.0000 1.7617 22.2948
```

---

Density functional theory data (PBE-GGA) for Li2Ca3Mg3 after structural relaxation. Values from VASP.

Values from the calculation:
Energy above the most stable polymorph in this dataset, meV/atom: 22
E, eV/atom: -1.820
Crystal system: hexagonal
Energy of formation, kJ/mol of atoms: 1
Total magnetization, μB/atom: 0.0000
Density of states at the Fermi level, states/eV per atom: 0.696

```
&SYSTEM
  ibrav = 0, nat = 8, ntyp = 3
/
ATOMIC_SPECIES
Li 6.94 Li.upf
Ca 40.08 Ca.upf
Mg 24.30 Mg.upf
CELL_PARAMETERS angstrom
8.0541 0.0000 0.0000
-4.0271 6.9751 0.0000
0.0000 0.0000 4.2027
ATOMIC_POSITIONS angstrom
Li 0.0000 4.6501 0.0000
Li 4.0271 2.3250 0.0000
Ca -2.4119 4.1775 2.1014
Ca 1.6152 2.7976 2.1014
Ca 4.8238 0.0000 2.1014
Mg -0.9410 1.6299 0.0000
Mg 1.8820 0.0000 0.0000
Mg 3.0860 5.3452 0.0000
```

---

Density functional theory data (PBE-GGA) for Li6CaMg2 after structural relaxation. Values from VASP.

Values from the calculation:
Energy above the most stable polymorph in this dataset, meV/atom: 0
E, eV/atom: -1.812
Crystal system: monoclinic
Energy of formation, kJ/mol of atoms: 4
Total magnetization, μB/atom: 0.0000
Density of states at the Fermi level, states/eV per atom: 0.496

```
&SYSTEM
  ibrav = 0, nat = 9, ntyp = 3
/
ATOMIC_SPECIES
Li 6.94 Li.upf
Ca 40.08 Ca.upf
Mg 24.30 Mg.upf
CELL_PARAMETERS angstrom
7.3430 -4.3296 0.0000
7.3430 4.3296 0.0000
-0.0536 0.0000 3.2493
ATOMIC_POSITIONS angstrom
Li 7.3430 3.0039 0.0000
Li 4.8080 1.5023 0.0099
Li 9.8326 1.5083 3.2452
Li 4.8080 -1.5023 0.0099
Li 7.3430 -3.0039 0.0000
Li 9.8326 -1.5083 3.2452
Ca 7.3246 0.0000 1.6260
Mg 2.4447 0.0000 1.6287
Mg 12.1879 0.0000 1.6241
```

---

Density functional theory data (PBE-GGA) for Li15CaMg4 after structural relaxation. Values from VASP.

Values from the calculation:
E, eV/atom: -1.867
Crystal system: tetragonal
Energy of formation, kJ/mol of atoms: -1
Total magnetization, μB/atom: 0.0000
Density of states at the Fermi level, states/eV per atom: 0.503

```
&SYSTEM
  ibrav = 0, nat = 20, ntyp = 3
/
ATOMIC_SPECIES
Li 6.94 Li.upf
Ca 40.08 Ca.upf
Mg 24.30 Mg.upf
CELL_PARAMETERS angstrom
4.9083 0.0000 0.0000
0.0000 4.9083 0.0000
0.0000 0.0000 17.8095
ATOMIC_POSITIONS angstrom
Li 0.0000 0.0000 0.0000
Li 0.0000 0.0000 3.7796
Li 0.0000 0.0000 7.2054
Li 0.0000 0.0000 10.6041
Li 0.0000 0.0000 14.0299
Li 0.0000 2.4542 2.1856
Li 0.0000 2.4542 5.5273
Li 0.0000 2.4542 8.9047
Li 0.0000 2.4542 12.2822
Li 0.0000 2.4542 15.6239
Li 2.4542 0.0000 2.1856
Li 2.4542 0.0000 5.5273
Li 2.4542 0.0000 8.9047
Li 2.4542 0.0000 12.2822
Li 2.4542 0.0000 15.6239
Ca 2.4542 2.4542 0.0000
Mg 2.4542 2.4542 3.8669
Mg 2.4542 2.4542 7.2293
Mg 2.4542 2.4542 10.5802
Mg 2.4542 2.4542 13.9426
```

---

Density functional theory data (PBE-GGA) for LiCa2Mg2 after structural relaxation. Values from VASP.

Values from the calculation:
Energy above the most stable polymorph in this dataset, meV/atom: 23
E, eV/atom: -1.813
Crystal system: tetragonal
Energy of formation, kJ/mol of atoms: 1
Total magnetization, μB/atom: 0.0000
Density of states at the Fermi level, states/eV per atom: 0.700

```
&SYSTEM
  ibrav = 0, nat = 10, ntyp = 3
/
ATOMIC_SPECIES
Li 6.94 Li.upf
Ca 40.08 Ca.upf
Mg 24.30 Mg.upf
CELL_PARAMETERS angstrom
7.7914 0.0000 0.0000
0.0000 7.7914 0.0000
0.0000 0.0000 5.1548
ATOMIC_POSITIONS angstrom
Li 0.0000 0.0000 0.0000
Li 3.8957 3.8957 0.0000
Ca 1.3251 2.5706 2.5774
Ca 2.5706 6.4663 2.5774
Ca 5.2208 1.3251 2.5774
Ca 6.4663 5.2208 2.5774
Mg 1.0490 4.9447 0.0000
Mg 2.8467 1.0490 0.0000
Mg 4.9447 6.7424 0.0000
Mg 6.7424 2.8467 0.0000
```

---

Density functional theory data (PBE-GGA) for LiCaMg2 after structural relaxation. Values from VASP.

Values from the calculation:
Energy above the most stable polymorph in this dataset, meV/atom: 68
E, eV/atom: -1.766
Crystal system: cubic
Energy of formation, kJ/mol of atoms: 1
Total magnetization, μB/atom: 0.0000
Density of states at the Fermi level, states/eV per atom: 0.771

```
&SYSTEM
  ibrav = 0, nat = 4, ntyp = 3
/
ATOMIC_SPECIES
Li 6.94 Li.upf
Ca 40.08 Ca.upf
Mg 24.30 Mg.upf
CELL_PARAMETERS angstrom
0.0000 3.7601 3.7601
3.7601 0.0000 3.7601
3.7601 3.7601 0.0000
ATOMIC_POSITIONS angstrom
Li 0.0000 0.0000 0.0000
Ca 3.7601 3.7601 3.7601
Mg 1.8801 1.8801 1.8801
Mg 5.6402 5.6402 5.6402
```

---

Density functional theory data (PBE-GGA) for Li3CaMg9 after structural relaxation. Values from VASP.

Values from the calculation:
E, eV/atom: -1.744
Crystal system: monoclinic
Energy of formation, kJ/mol of atoms: -4
Total magnetization, μB/atom: 0.0000
Density of states at the Fermi level, states/eV per atom: 0.544

```
&SYSTEM
  ibrav = 0, nat = 13, ntyp = 3
/
ATOMIC_SPECIES
Li 6.94 Li.upf
Ca 40.08 Ca.upf
Mg 24.30 Mg.upf
CELL_PARAMETERS angstrom
2.7906 -7.3592 0.0000
2.7906 7.3592 0.0000
-2.7384 0.0000 7.3558
ATOMIC_POSITIONS angstrom
Li 0.0000 0.0000 0.0000
Li 0.0261 3.6796 3.6779
Li 0.0261 -3.6796 3.6779
Ca 1.4214 0.0000 3.6779
Mg 1.4371 5.7494 2.1117
Mg 1.4047 2.6278 1.0941
Mg 1.4056 5.7494 5.2441
Mg 1.4380 2.6278 6.2617
Mg 2.7906 0.0000 0.0000
Mg 1.4047 -2.6278 1.0941
Mg 1.4371 -5.7494 2.1117
Mg 1.4380 -2.6278 6.2617
Mg 1.4056 -5.7494 5.2441
```

---

Density functional theory data (PBE-GGA) for Li2Ca2Mg after structural relaxation. Values from VASP.

Values from the calculation:
Energy above the most stable polymorph in this dataset, meV/atom: 0
E, eV/atom: -1.913
Crystal system: monoclinic
Energy of formation, kJ/mol of atoms: -3
Total magnetization, μB/atom: 0.0000
Density of states at the Fermi level, states/eV per atom: 0.561

```
&SYSTEM
  ibrav = 0, nat = 10, ntyp = 3
/
ATOMIC_SPECIES
Li 6.94 Li.upf
Ca 40.08 Ca.upf
Mg 24.30 Mg.upf
CELL_PARAMETERS angstrom
5.4699 -3.1697 0.0000
5.4699 3.1697 0.0000
-2.1525 0.0000 8.4135
ATOMIC_POSITIONS angstrom
Li 0.3656 0.8076 4.1600
Li -0.7106 -0.8076 8.3667
Li 9.4979 0.8076 0.0468
Li 8.4217 -0.8076 4.2535
Ca 2.0057 0.8477 7.1653
Ca 3.0820 -0.8477 2.9586
Ca 5.7053 0.8477 5.4549
Ca 6.7815 -0.8477 1.2482
Mg 4.9318 2.0902 2.1034
Mg 3.8555 -2.0902 6.3101
```

---

Density functional theory data (PBE-GGA) for Li3Ca4Mg2 after structural relaxation. Values from VASP.

Values from the calculation:
E, eV/atom: -1.880
Crystal system: monoclinic
Energy of formation, kJ/mol of atoms: 0
Total magnetization, μB/atom: 0.0000
Density of states at the Fermi level, states/eV per atom: 1.031

```
&SYSTEM
  ibrav = 0, nat = 9, ntyp = 3
/
ATOMIC_SPECIES
Li 6.94 Li.upf
Ca 40.08 Ca.upf
Mg 24.30 Mg.upf
CELL_PARAMETERS angstrom
4.8206 -2.7798 0.0000
4.8206 2.7798 0.0000
-0.0274 0.0000 10.2711
ATOMIC_POSITIONS angstrom
Li 0.0000 0.0000 0.0000
Li 3.2015 0.0000 4.8100
Li 6.4123 0.0000 5.4611
Ca -0.0048 0.0000 3.3196
Ca 9.6186 0.0000 6.9514
Ca 3.2128 0.0000 1.1179
Ca 6.4010 0.0000 9.1532
Mg 3.1888 0.0000 7.9258
Mg 6.4250 0.0000 2.3452
```

---

Density functional theory data (PBE-GGA) for LiCaMg after structural relaxation. Values from VASP.

Values from the calculation:
Energy above the most stable polymorph in this dataset, meV/atom: 265
E, eV/atom: -1.652
Crystal system: cubic
Energy of formation, kJ/mol of atoms: 18
Total magnetization, μB/atom: 0.0000
Density of states at the Fermi level, states/eV per atom: 1.004

```
&SYSTEM
  ibrav = 0, nat = 3, ntyp = 3
/
ATOMIC_SPECIES
Li 6.94 Li.upf
Ca 40.08 Ca.upf
Mg 24.30 Mg.upf
CELL_PARAMETERS angstrom
0.0000 3.6017 3.6017
3.6017 0.0000 3.6017
3.6017 3.6017 0.0000
ATOMIC_POSITIONS angstrom
Li 0.0000 0.0000 0.0000
Ca 5.4026 5.4026 5.4026
Mg 1.8009 1.8009 1.8009
```